[1]
Below is a relaxed structure of TlTcN2F, with properties calculated at the PBE-GGA level.

Geometry as CIF:
```
data_TlTcN2F
_chemical_formula_sum 'Tl1 Tc1 N2 F1'
_cell_length_a 3.9208
_cell_length_b 3.9208
_cell_length_c 4.4837
_cell_angle_alpha 90.00
_cell_angle_beta 90.00
_cell_angle_gamma 90.00
_symmetry_space_group_name_H-M 'P 1'
_symmetry_Int_Tables_number 1
_symmetry_space_group_name_Hall 'P 1'
loop_
_atom_site_label
_atom_site_type_symbol
_atom_site_fract_x
_atom_site_fract_y
_atom_site_fract_z
N1 N 0.0000 0.5000 0.0000
Tc1 Tc 0.0000 0.0000 0.0000
Tl1 Tl 0.5000 0.5000 0.5000
N2 N 0.5000 0.0000 0.0000
F1 F 0.0000 0.0000 0.5000
```

For the calculated total energy, the calculation gives -6.320 eV/atom. For the energy above the most stable polymorph in this dataset, the calculation gives 0.0 meV/atom. Its raw formation energy is -0.069 eV per atom.

---

[2]
Below is a relaxed structure of Pr2DyNpN4, with properties calculated at the PBE-GGA level.

Geometry as CIF:
```
data_Pr2DyNpN4
_chemical_formula_sum 'Pr2 Dy1 Np1 N4'
_cell_length_a 3.5530
_cell_length_b 6.0921
_cell_length_c 6.1942
_cell_angle_alpha 108.71
_cell_angle_beta 90.00
_cell_angle_gamma 90.00
_symmetry_space_group_name_H-M 'P 1'
_symmetry_Int_Tables_number 1
_symmetry_space_group_name_Hall 'P 1'
loop_
_atom_site_label
_atom_site_type_symbol
_atom_site_fract_x
_atom_site_fract_y
_atom_site_fract_z
Dy1 Dy 0.5000 0.5000 0.0000
Np1 Np 0.0000 0.0000 0.0000
N1 N 0.5000 0.7695 0.7824
N2 N 0.0000 0.7597 0.2168
Pr1 Pr 0.0000 0.5000 0.5000
N3 N 0.5000 0.2305 0.2176
Pr2 Pr 0.5000 0.0000 0.5000
N4 N 0.0000 0.2403 0.7832
```

For the calculated total energy, the calculation gives -8.921 eV/atom. Its raw formation energy is -1.371 eV per atom.

---

[3]
Below is a relaxed structure of Ac5TbAg4, with properties calculated at the PBE-GGA level.

Geometry as CIF:
```
data_Ac5TbAg4
_chemical_formula_sum 'Ac5 Tb1 Ag4'
_cell_length_a 3.9463
_cell_length_b 3.9463
_cell_length_c 20.9854
_cell_angle_alpha 90.00
_cell_angle_beta 90.00
_cell_angle_gamma 90.00
_symmetry_space_group_name_H-M 'P 1'
_symmetry_Int_Tables_number 1
_symmetry_space_group_name_Hall 'P 1'
loop_
_atom_site_label
_atom_site_type_symbol
_atom_site_fract_x
_atom_site_fract_y
_atom_site_fract_z
Ag1 Ag 0.0000 0.0000 0.4051
Ag2 Ag 0.0000 0.0000 0.5949
Ag3 Ag 0.0000 0.0000 0.2135
Ac1 Ac 0.5000 0.5000 0.5000
Tb1 Tb 0.0000 0.0000 0.0000
Ag4 Ag 0.0000 0.0000 0.7865
Ac2 Ac 0.5000 0.5000 0.8789
Ac3 Ac 0.5000 0.5000 0.3091
Ac4 Ac 0.5000 0.5000 0.1211
Ac5 Ac 0.5000 0.5000 0.6909
```

As for the energy relative to the elements: -191 meV/atom. For the calculated total energy, the calculation gives -3.848 eV/atom.

---

[4]
Below is a relaxed structure of Rb2NbCd, with properties calculated at the PBE-GGA level.

Geometry as CIF:
```
data_Rb2NbCd
_chemical_formula_sum 'Rb4 Nb2 Cd2'
_cell_length_a 10.2253
_cell_length_b 10.2253
_cell_length_c 7.9235
_cell_angle_alpha 49.82
_cell_angle_beta 49.82
_cell_angle_gamma 90.00
_symmetry_space_group_name_H-M 'P 1'
_symmetry_Int_Tables_number 1
_symmetry_space_group_name_Hall 'P 1'
loop_
_atom_site_label
_atom_site_type_symbol
_atom_site_fract_x
_atom_site_fract_y
_atom_site_fract_z
Rb1 Rb 0.3750 0.3480 0.7500
Cd1 Cd 0.7500 0.2500 0.5000
Nb1 Nb 0.5000 0.5000 0.0000
Rb2 Rb 0.8750 0.9020 0.7500
Rb3 Rb 0.6520 0.1250 0.2500
Nb2 Nb 0.2500 0.7500 0.5000
Rb4 Rb 0.0980 0.6250 0.2500
Cd2 Cd 0.0000 0.0000 0.0000
```

As for the energy relative to the elements: 1162 meV/atom. For the calculated total energy, the calculation gives -2.068 eV/atom.

---

[5]
Below is a relaxed structure of LaRe2Se, with properties calculated at the PBE-GGA level.

Geometry as CIF:
```
data_LaRe2Se
_chemical_formula_sum 'La1 Re2 Se1'
_cell_length_a 3.7394
_cell_length_b 3.7394
_cell_length_c 5.9719
_cell_angle_alpha 90.00
_cell_angle_beta 90.00
_cell_angle_gamma 90.00
_symmetry_space_group_name_H-M 'P 1'
_symmetry_Int_Tables_number 1
_symmetry_space_group_name_Hall 'P 1'
loop_
_atom_site_label
_atom_site_type_symbol
_atom_site_fract_x
_atom_site_fract_y
_atom_site_fract_z
Re1 Re 0.0000 0.0000 0.0550
Re2 Re 0.0000 0.0000 0.4450
Se1 Se 0.5000 0.5000 0.2500
La1 La 0.5000 0.5000 0.7500
```

For the calculated total energy, the calculation gives -7.491 eV/atom. Its raw formation energy is 0.836 eV per atom.

---

[6]
Below is a relaxed structure of SrCaO3, with properties calculated at the PBE-GGA level.

Geometry as CIF:
```
data_SrCaO3
_chemical_formula_sum 'Sr1 Ca1 O3'
_cell_length_a 4.4507
_cell_length_b 4.4507
_cell_length_c 4.4507
_cell_angle_alpha 90.00
_cell_angle_beta 90.00
_cell_angle_gamma 90.00
_symmetry_space_group_name_H-M 'P 1'
_symmetry_Int_Tables_number 1
_symmetry_space_group_name_Hall 'P 1'
loop_
_atom_site_label
_atom_site_type_symbol
_atom_site_fract_x
_atom_site_fract_y
_atom_site_fract_z
O1 O 0.5000 0.0000 0.0000
Sr1 Sr 0.0000 0.0000 0.0000
O2 O 0.0000 0.5000 0.0000
Ca1 Ca 0.5000 0.5000 0.5000
O3 O 0.0000 0.0000 0.5000
```

For the calculated total energy, the calculation gives -5.027 eV/atom. Its raw formation energy is -1.316 eV per atom.

---

[7]
Below is a relaxed structure of CdAgTe2I, with properties calculated at the PBE-GGA level.

Geometry as CIF:
```
data_CdAgTe2I
_chemical_formula_sum 'Cd1 Ag1 Te2 I1'
_cell_length_a 5.5820
_cell_length_b 5.5820
_cell_length_c 6.0804
_cell_angle_alpha 90.00
_cell_angle_beta 90.00
_cell_angle_gamma 90.00
_symmetry_space_group_name_H-M 'P 1'
_symmetry_Int_Tables_number 1
_symmetry_space_group_name_Hall 'P 1'
loop_
_atom_site_label
_atom_site_type_symbol
_atom_site_fract_x
_atom_site_fract_y
_atom_site_fract_z
Te1 Te 0.0000 0.5000 0.0000
I1 I 0.0000 0.0000 0.5000
Ag1 Ag 0.5000 0.5000 0.5000
Cd1 Cd 0.0000 0.0000 0.0000
Te2 Te 0.5000 0.0000 0.0000
```

For the calculated total energy, the calculation gives -1.826 eV/atom. For the energy above the most stable polymorph in this dataset, the calculation gives 98.4 meV/atom. Its raw formation energy is 0.494 eV per atom.

---

[8]
Below is a relaxed structure of Li3DyCd2, with properties calculated at the PBE-GGA level.

Geometry as CIF:
```
data_Li3DyCd2
_chemical_formula_sum 'Li6 Dy2 Cd4'
_cell_length_a 4.6223
_cell_length_b 8.2832
_cell_length_c 7.9129
_cell_angle_alpha 118.93
_cell_angle_beta 90.00
_cell_angle_gamma 106.20
_symmetry_space_group_name_H-M 'P 1'
_symmetry_Int_Tables_number 1
_symmetry_space_group_name_Hall 'P 1'
loop_
_atom_site_label
_atom_site_type_symbol
_atom_site_fract_x
_atom_site_fract_y
_atom_site_fract_z
Li1 Li 0.9192 0.8383 0.5399
Cd1 Cd 0.2469 0.4937 0.8312
Li2 Li 0.6026 0.2051 0.6821
Dy1 Dy 0.9061 0.8121 0.0363
Li3 Li 0.2427 0.4855 0.4110
Cd2 Cd 0.4274 0.8547 0.7666
Li4 Li 0.0808 0.1617 0.4601
Dy2 Dy 0.0939 0.1879 0.9637
Cd3 Cd 0.7531 0.5063 0.1688
Cd4 Cd 0.5726 0.1453 0.2334
Li5 Li 0.7573 0.5145 0.5890
Li6 Li 0.3974 0.7949 0.3179
```

As for the energy relative to the elements: -161 meV/atom. For the calculated total energy, the calculation gives -2.190 eV/atom.

---

[9]
Below is a relaxed structure of Y3VGa, with properties calculated at the PBE-GGA level.

Geometry as CIF:
```
data_Y3VGa
_chemical_formula_sum 'Y3 V1 Ga1'
_cell_length_a 5.4391
_cell_length_b 5.4391
_cell_length_c 5.4391
_cell_angle_alpha 90.00
_cell_angle_beta 90.00
_cell_angle_gamma 90.00
_symmetry_space_group_name_H-M 'P 1'
_symmetry_Int_Tables_number 1
_symmetry_space_group_name_Hall 'P 1'
loop_
_atom_site_label
_atom_site_type_symbol
_atom_site_fract_x
_atom_site_fract_y
_atom_site_fract_z
Ga1 Ga 0.0000 0.0000 0.0000
Y1 Y 0.5000 0.0000 0.0000
V1 V 0.5000 0.5000 0.5000
Y2 Y 0.0000 0.5000 0.0000
Y3 Y 0.0000 0.0000 0.5000
```

As for the energy relative to the elements: 511 meV/atom. For the calculated total energy, the calculation gives -5.797 eV/atom.

---

[10]
Below is a relaxed structure of PmTm4In2, with properties calculated at the PBE-GGA level.

Geometry as CIF:
```
data_PmTm4In2
_chemical_formula_sum 'Pm1 Tm4 In2'
_cell_length_a 5.0508
_cell_length_b 5.0508
_cell_length_c 10.7909
_cell_angle_alpha 76.47
_cell_angle_beta 76.47
_cell_angle_gamma 60.00
_symmetry_space_group_name_H-M 'P 1'
_symmetry_Int_Tables_number 1
_symmetry_space_group_name_Hall 'P 1'
loop_
_atom_site_label
_atom_site_type_symbol
_atom_site_fract_x
_atom_site_fract_y
_atom_site_fract_z
Tm1 Tm 0.2972 0.2972 0.1084
Tm2 Tm 0.8935 0.8935 0.3196
Tm3 Tm 0.7028 0.7028 0.8916
Tm4 Tm 0.1065 0.1065 0.6804
Pm1 Pm 0.5000 0.5000 0.5000
In1 In 0.6012 0.6012 0.1963
In2 In 0.3988 0.3988 0.8037
```

As for the energy relative to the elements: 65 meV/atom. For the calculated total energy, the calculation gives -3.951 eV/atom.

---

[11]
Below is a relaxed structure of CaP3S, with properties calculated at the PBE-GGA level.

Geometry as CIF:
```
data_CaP3S
_chemical_formula_sum 'Ca1 P3 S1'
_cell_length_a 5.2025
_cell_length_b 5.2025
_cell_length_c 5.2025
_cell_angle_alpha 90.00
_cell_angle_beta 90.00
_cell_angle_gamma 90.00
_symmetry_space_group_name_H-M 'P 1'
_symmetry_Int_Tables_number 1
_symmetry_space_group_name_Hall 'P 1'
loop_
_atom_site_label
_atom_site_type_symbol
_atom_site_fract_x
_atom_site_fract_y
_atom_site_fract_z
S1 S 0.5000 0.5000 0.5000
P1 P 0.0000 0.5000 0.0000
P2 P 0.0000 0.0000 0.5000
Ca1 Ca 0.0000 0.0000 0.0000
P3 P 0.5000 0.0000 0.0000
```

For the calculated total energy, the calculation gives -2.949 eV/atom. For the energy above the most stable polymorph in this dataset, the calculation gives 1287.2 meV/atom. Its raw formation energy is 1.522 eV per atom.

---

[12]
Below is a relaxed structure of Ca3Tb2UAs6, with properties calculated at the PBE-GGA level.

Geometry as CIF:
```
data_Ca3Tb2UAs6
_chemical_formula_sum 'Ca3 Tb2 U1 As6'
_cell_length_a 7.2127
_cell_length_b 7.2127
_cell_length_c 7.2638
_cell_angle_alpha 99.55
_cell_angle_beta 99.55
_cell_angle_gamma 119.99
_symmetry_space_group_name_H-M 'P 1'
_symmetry_Int_Tables_number 1
_symmetry_space_group_name_Hall 'P 1'
loop_
_atom_site_label
_atom_site_type_symbol
_atom_site_fract_x
_atom_site_fract_y
_atom_site_fract_z
Tb1 Tb 0.3339 0.6661 0.0000
As1 As 0.6042 0.9231 0.7680
Ca1 Ca 0.1705 0.8295 0.5000
As2 As 0.9231 0.6042 0.7680
Ca2 Ca 0.5000 0.5000 0.5000
Tb2 Tb 0.6661 0.3339 0.0000
As3 As 0.7599 0.7599 0.2308
Ca3 Ca 0.8295 0.1705 0.5000
U1 U 0.0000 0.0000 0.0000
As4 As 0.0769 0.3958 0.2320
As5 As 0.2401 0.2401 0.7692
As6 As 0.3958 0.0769 0.2320
```

As for the energy relative to the elements: -1223 meV/atom. For the calculated total energy, the calculation gives -5.760 eV/atom.

---

Q: Which of these has the highest calculated total energy?
A: CdAgTe2I